Record 1
The following is a GGA-PBE calculation of an optimized crystal structure of TbTiCoRu, from Alexandria via LeMat-Bulk.

```
data_TbTiCoRu
_space_group_name_H-M_alt 'P 1'
_space_group_IT_number 1
_space_group_name_Hall 'P 1'
_cell_length_a 4.547
_cell_length_b 4.547
_cell_length_c 4.547
_cell_angle_alpha 60.00
_cell_angle_beta 60.00
_cell_angle_gamma 60.00
loop_
_atom_site_label
_atom_site_type_symbol
_atom_site_fract_x
_atom_site_fract_y
_atom_site_fract_z
Ru1 Ru 0.000 0.000 0.000
Tb1 Tb 0.750 0.750 0.750
Ti1 Ti 0.250 0.250 0.250
Co1 Co 0.500 0.500 0.500
```

Results
**ΔE_f**: -0.26 eV/atom
**Raw total energy**: -29.94 eV for the cell shown

Record 2
The following is a GGA-PBE calculation of an optimized crystal structure of CrOsS2N, from Alexandria via LeMat-Bulk.

```
data_CrOsS2N
_space_group_name_H-M_alt 'P 1'
_space_group_IT_number 1
_space_group_name_Hall 'P 1'
_cell_length_a 4.824
_cell_length_b 4.824
_cell_length_c 3.665
_cell_angle_alpha 90.00
_cell_angle_beta 90.00
_cell_angle_gamma 90.00
loop_
_atom_site_label
_atom_site_type_symbol
_atom_site_fract_x
_atom_site_fract_y
_atom_site_fract_z
Cr1 Cr 0.500 0.500 0.500
Os1 Os 0.000 0.000 0.000
N1 N 0.000 0.000 0.500
S1 S 0.500 0.000 0.000
S2 S 0.000 0.500 0.000
```

Results
**E_form (uncorrected)**: 516 meV per atom
**E above lowest polymorph**: 0 meV per atom
**Raw total energy**: -34.85 eV for the cell shown

Record 3
The following is a GGA-PBE calculation of an optimized crystal structure of DyHoPu2, from Alexandria via LeMat-Bulk.

```
data_DyHoPu2
_space_group_name_H-M_alt 'P 1'
_space_group_IT_number 1
_space_group_name_Hall 'P 1'
_cell_length_a 3.397
_cell_length_b 3.397
_cell_length_c 10.072
_cell_angle_alpha 90.00
_cell_angle_beta 90.00
_cell_angle_gamma 90.00
loop_
_atom_site_label
_atom_site_type_symbol
_atom_site_fract_x
_atom_site_fract_y
_atom_site_fract_z
Pu1 Pu 0.000 0.000 0.749
Pu2 Pu 0.000 0.000 0.251
Ho1 Ho 0.500 0.500 0.500
Dy1 Dy 0.500 0.500 0.000
```

Results
**ΔE_f**: 0.17 eV/atom
**E above lowest polymorph**: 0 meV per atom
**Raw total energy**: -37.16 eV for the cell shown

Record 4
The following is a GGA-PBE calculation of an optimized crystal structure of HfTiMoRh, from Alexandria via LeMat-Bulk.

```
data_HfTiMoRh
_space_group_name_H-M_alt 'P 1'
_space_group_IT_number 1
_space_group_name_Hall 'P 1'
_cell_length_a 3.212
_cell_length_b 3.212
_cell_length_c 6.454
_cell_angle_alpha 90.00
_cell_angle_beta 90.00
_cell_angle_gamma 90.00
loop_
_atom_site_label
_atom_site_type_symbol
_atom_site_fract_x
_atom_site_fract_y
_atom_site_fract_z
Ti1 Ti 0.500 0.500 0.113
Rh1 Rh 0.000 0.000 0.863
Mo1 Mo 0.000 0.000 0.343
Hf1 Hf 0.500 0.500 0.608
```

Results
**ΔE_f**: -0.52 eV/atom
**E above lowest polymorph**: 0 meV per atom
**Raw total energy**: -38.11 eV for the cell shown

Number 1: density of states at the Fermi level 1.71 states/eV/f.u.. Number 2: density of states at the Fermi level 3.54 states/eV/f.u.. Number 3: density of states at the Fermi level 14.45 states/eV/f.u.. Number 4: density of states at the Fermi level 2.52 states/eV/f.u..